Entry 1
DFT (PBE-GGA) results for a geometry-optimized B2SbBr structure.

It has space group I-42d (No. 122), with a = 5.618 Å, b = 5.618 Å, c = 10.231 Å, α = 90.00°, β = 90.00° and γ = 90.00°. The asymmetric unit holds B at (0.214, 0.250, 0.125), Sb at (0.000, 0.000, 0.000) and Br at (0.000, 0.000, 0.500).

Entry 2
DFT (PBE-GGA) results for a geometry-optimized B2SbBr structure.

It has space group Fm-3m (No. 225), with a = 6.433 Å, b = 6.433 Å, c = 6.433 Å, α = 90.00°, β = 90.00° and γ = 90.00°. The asymmetric unit holds B at (0.250, 0.250, 0.250), Sb at (0.000, 0.000, 0.000) and Br at (0.000, 0.000, 0.500).

entry 1 takes first place; second place is 556 meV per atom up.

Entry 1
DFT (PBE-GGA) results for a geometry-optimized BSbTe2Br structure.

It has space group P4/mmm (No. 123), with a = 5.689 Å, b = 5.689 Å, c = 5.524 Å, α = 90.00°, β = 90.00° and γ = 90.00°. The asymmetric unit holds B at (0.000, 0.000, 0.000), Sb at (0.500, 0.500, 0.000), Te at (0.000, 0.500, 0.500) and Br at (0.500, 0.500, 0.500).

Entry 2
DFT (PBE-GGA) results for a geometry-optimized BSbTe2Br structure.

It has space group P4/mmm (No. 123), with a = 4.864 Å, b = 4.864 Å, c = 5.204 Å, α = 90.00°, β = 90.00° and γ = 90.00°. The asymmetric unit holds B at (0.000, 0.000, 0.000), Sb at (0.000, 0.000, 0.500), Te at (0.000, 0.500, 0.000) and Br at (0.500, 0.500, 0.500).

entry 2 takes first place; second place is 1081 meV per atom up.

Entry 1
DFT (PBE-GGA) results for a geometry-optimized ScB2Br structure.

It has space group I-42d (No. 122), with a = 5.961 Å, b = 5.961 Å, c = 7.068 Å, α = 90.00°, β = 90.00° and γ = 90.00°. The asymmetric unit holds Sc at (0.000, 0.000, 0.000), B at (0.205, 0.250, 0.625) and Br at (0.000, 0.000, 0.500).

Entry 2
DFT (PBE-GGA) results for a geometry-optimized ScB2Br structure.

It has space group Fm-3m (No. 225), with a = 6.228 Å, b = 6.228 Å, c = 6.228 Å, α = 90.00°, β = 90.00° and γ = 90.00°. The asymmetric unit holds Sc at (0.000, 0.000, 0.000), B at (0.250, 0.250, 0.250) and Br at (0.000, 0.000, 0.500).

entry 1 takes first place; second place is 298 meV per atom up.

Entry 1
DFT (PBE-GGA) results for a geometry-optimized ScBSe2Br structure.

It has space group P4/mmm (No. 123), with a = 4.604 Å, b = 4.604 Å, c = 4.518 Å, α = 90.00°, β = 90.00° and γ = 90.00°. The asymmetric unit holds Sc at (0.000, 0.000, 0.000), B at (0.500, 0.500, 0.500), Se at (0.000, 0.500, 0.500) and Br at (0.500, 0.500, 0.000).

Entry 2
DFT (PBE-GGA) results for a geometry-optimized ScBSe2Br structure.

It has space group P4/mmm (No. 123), with a = 5.165 Å, b = 5.165 Å, c = 5.282 Å, α = 90.00°, β = 90.00° and γ = 90.00°. The asymmetric unit holds Sc at (0.000, 0.000, 0.000), B at (0.500, 0.500, 0.500), Se at (0.000, 0.500, 0.000) and Br at (0.000, 0.000, 0.500).

entry 1 takes first place; second place is 268 meV per atom up.

Entry 1
DFT (PBE-GGA) results for a geometry-optimized ScBSeBr2 structure.

It has space group P4/mmm (No. 123), with a = 4.658 Å, b = 4.658 Å, c = 4.700 Å, α = 90.00°, β = 90.00° and γ = 90.00°. The asymmetric unit holds Sc at (0.000, 0.000, 0.000), B at (0.500, 0.500, 0.500), Se at (0.500, 0.500, 0.000) and Br at (0.000, 0.500, 0.500).

Entry 2
DFT (PBE-GGA) results for a geometry-optimized ScBSeBr2 structure.

It has space group P4/mmm (No. 123), with a = 5.241 Å, b = 5.241 Å, c = 5.270 Å, α = 90.00°, β = 90.00° and γ = 90.00°. The asymmetric unit holds Sc at (0.000, 0.000, 0.000), B at (0.500, 0.500, 0.500), Se at (0.000, 0.000, 0.500) and Br at (0.000, 0.500, 0.000).

entry 2 takes first place; second place is 83 meV per atom up.

Entry 1
DFT (PBE-GGA) results for a geometry-optimized BSeBr structure.

It has space group P1 (No. 1), with a = 3.412 Å, b = 3.412 Å, c = 7.328 Å, α = 98.69°, β = 94.08° and γ = 120.00°. The asymmetric unit holds B at (0.000, 0.000, 0.000), Se at (0.387, 0.735, 0.129) and Br at (0.886, 0.856, 0.731).

Entry 2
DFT (PBE-GGA) results for a geometry-optimized BSeBr structure.

It has space group P-1 (No. 2), with a = 3.281 Å, b = 7.150 Å, c = 9.859 Å, α = 69.65°, β = 80.82° and γ = 77.29°. The asymmetric unit holds B at (0.134, 0.466, 0.273), Se at (0.307, 0.706, 0.679) and Br at (0.035, 0.752, 0.194).

entry 2 takes first place; second place is 29 meV per atom up.

Entry 1
DFT (PBE-GGA) results for a geometry-optimized B2Se2Br structure.

It has space group P4/mbm (No. 127), with a = 8.870 Å, b = 8.870 Å, c = 3.234 Å, α = 90.00°, β = 90.00° and γ = 90.00°. The asymmetric unit holds B at (0.216, 0.284, 0.000), Se at (0.133, 0.367, 0.500) and Br at (0.000, 0.000, 0.000).

Entry 2
DFT (PBE-GGA) results for a geometry-optimized B2Se2Br structure.

It has space group I4/mmm (No. 139), with a = 4.339 Å, b = 4.339 Å, c = 7.998 Å, α = 90.00°, β = 90.00° and γ = 90.00°. The asymmetric unit holds B at (0.000, 0.000, 0.113), Se at (0.000, 0.500, 0.250) and Br at (0.000, 0.000, 0.500).

entry 1 takes first place; second place is 5 meV per atom up.

Entry 1
DFT (PBE-GGA) results for a geometry-optimized BSeBr3 structure.

It has space group Pm-3m (No. 221), with a = 5.368 Å, b = 5.368 Å, c = 5.368 Å, α = 90.00°, β = 90.00° and γ = 90.00°. The asymmetric unit holds B at (0.000, 0.000, 0.000), Se at (0.500, 0.500, 0.500) and Br at (0.000, 0.500, 0.500).

Entry 2
DFT (PBE-GGA) results for a geometry-optimized BSeBr3 structure.

It has space group Pm-3m (No. 221), with a = 4.781 Å, b = 4.781 Å, c = 4.781 Å, α = 90.00°, β = 90.00° and γ = 90.00°. The asymmetric unit holds B at (0.000, 0.000, 0.000), Se at (0.500, 0.500, 0.500) and Br at (0.000, 0.000, 0.500).

entry 2 takes first place; second place is 207 meV per atom up.